Nd4Sn2N: relaxed, GGA-PBE.

Values from the calculation:
formation energy (no corrections) = -0.838 eV per atom
uncorrected energy = -82.5 eV for the cell shown
mass density = 6.6 Mg/m³
excess energy over the best structure of this formula in the dataset = 0.035 eV per atom

a b c (Å): 6.754 6.920 9.517
angles (deg): 90.00 110.79 90.00
Each line ends with the local moment (μB).
Sites, in units of the cell vectors:
Nd 0.518 0.499 0.278  0.04
Nd 0.932 0.250 0.656  0.06
Nd 0.875 0.250 0.053  0.02
Nd 0.482 0.501 0.722  0.04
Sn 0.692 0.750 0.034  -0.01
Sn 0.187 0.250 0.414  -0.01
N 0.290 0.750 0.206  0.00
Nd 0.068 0.750 0.344  0.06
Nd 0.518 0.001 0.278  0.04
Nd 0.482 0.999 0.722  0.04
Sn 0.813 0.750 0.586  -0.01
Sn 0.308 0.250 0.966  -0.01
N 0.710 0.250 0.794  0.00
Nd 0.125 0.750 0.947  0.02